Computed, not measured: ZnMoNO2 after structural relaxation at the PBE with a Hubbard U level of DFT.

```
5
Lattice="-3.812 -0.448 0.631 -0.282 -2.147 -3.231 0.750 -3.346 2.157" Properties=species:S:1:pos:R:3 pbc="T T T"
Mo 0.000 0.000 0.000
Zn -1.672 -2.970 -0.221
O -0.141 -1.073 -1.615
O -1.906 -0.224 0.315
N 0.375 -1.673 1.079
```

Summary:
- Density of states at the Fermi level: 0.298 states/eV/atom
- Space-group type: P4/mmm, No. 123
- Final energy: -28.6 eV per cell